The following is a PBE calculation of a relaxed structure of TbEuDy2, from Alexandria via LeMat-Bulk.

a = 8.1203 Å, b = 8.1203 Å, c = 8.1203 Å
α = 90.00°, β = 90.00°, γ = 90.00°
Element x y z (fractional)
Tb1 0.0000 0.0000 0.0000
Tb2 0.0000 0.5000 0.5000
Tb3 0.5000 0.0000 0.5000
Tb4 0.5000 0.5000 0.0000
Eu1 0.0000 0.0000 0.5000
Eu2 0.0000 0.5000 0.0000
Eu3 0.5000 0.0000 0.0000
Eu4 0.5000 0.5000 0.5000
Dy1 0.2500 0.2500 0.2500
Dy2 0.2500 0.2500 0.7500
Dy3 0.2500 0.7500 0.2500
Dy4 0.2500 0.7500 0.7500
Dy5 0.7500 0.2500 0.2500
Dy6 0.7500 0.2500 0.7500
Dy7 0.7500 0.7500 0.2500
Dy8 0.7500 0.7500 0.7500

Calculated values
- total magnetic moment (μB/cell) = 32.40
- ρ (g/cm³) = 7.89
- relative energy among the computed polymorphs (meV/atom) = 108.7
- SG = Fm-3m, No. 225

***

The following is a PBE calculation of a relaxed structure of TbEu2Dy, from Alexandria via LeMat-Bulk.

a = 8.2705 Å, b = 8.2705 Å, c = 8.2705 Å
α = 90.00°, β = 90.00°, γ = 90.00°
Element x y z (fractional)
Tb1 0.0000 0.0000 0.0000
Tb2 0.0000 0.5000 0.5000
Tb3 0.5000 0.0000 0.5000
Tb4 0.5000 0.5000 0.0000
Eu1 0.2500 0.2500 0.2500
Eu2 0.2500 0.2500 0.7500
Eu3 0.2500 0.7500 0.2500
Eu4 0.2500 0.7500 0.7500
Eu5 0.7500 0.2500 0.2500
Eu6 0.7500 0.2500 0.7500
Eu7 0.7500 0.7500 0.2500
Eu8 0.7500 0.7500 0.7500
Dy1 0.0000 0.0000 0.5000
Dy2 0.0000 0.5000 0.0000
Dy3 0.5000 0.0000 0.0000
Dy4 0.5000 0.5000 0.5000

Calculated values
- total magnetic moment (μB/cell) = 57.98
- ρ (g/cm³) = 7.34
- relative energy among the computed polymorphs (meV/atom) = 47.2
- SG = Fm-3m, No. 225

***

The following is a PBE calculation of a relaxed structure of TbEuDyTh, from Alexandria via LeMat-Bulk.

a = 8.1323 Å, b = 8.1323 Å, c = 8.1323 Å
α = 90.00°, β = 90.00°, γ = 90.00°
Element x y z (fractional)
Tb1 0.0000 0.0000 0.0000
Tb2 0.0000 0.5000 0.5000
Tb3 0.5000 0.0000 0.5000
Tb4 0.5000 0.5000 0.0000
Eu1 0.2500 0.2500 0.2500
Eu2 0.2500 0.7500 0.7500
Eu3 0.7500 0.2500 0.7500
Eu4 0.7500 0.7500 0.2500
Dy1 0.0000 0.0000 0.5000
Dy2 0.0000 0.5000 0.0000
Dy3 0.5000 0.0000 0.0000
Dy4 0.5000 0.5000 0.5000
Th1 0.2500 0.2500 0.7500
Th2 0.2500 0.7500 0.2500
Th3 0.7500 0.2500 0.2500
Th4 0.7500 0.7500 0.7500

Calculated values
- E (eV/atom) = -6.526
- total magnetic moment (μB/cell) = 27.37
- ρ (g/cm³) = 8.71
- SG = F-43m, No. 216

***

The following is a PBE calculation of a relaxed structure of TbEuDyTl, from Alexandria via LeMat-Bulk.

a = 7.8185 Å, b = 7.8185 Å, c = 7.8185 Å
α = 90.00°, β = 90.00°, γ = 90.00°
Element x y z (fractional)
Tb1 0.0000 0.0000 0.0000
Tb2 0.0000 0.5000 0.5000
Tb3 0.5000 0.0000 0.5000
Tb4 0.5000 0.5000 0.0000
Eu1 0.2500 0.2500 0.7500
Eu2 0.2500 0.7500 0.2500
Eu3 0.7500 0.2500 0.2500
Eu4 0.7500 0.7500 0.7500
Dy1 0.0000 0.0000 0.5000
Dy2 0.0000 0.5000 0.0000
Dy3 0.5000 0.0000 0.0000
Dy4 0.5000 0.5000 0.5000
Tl1 0.2500 0.2500 0.2500
Tl2 0.2500 0.7500 0.7500
Tl3 0.7500 0.2500 0.7500
Tl4 0.7500 0.7500 0.2500

Calculated values
- E (eV/atom) = -5.496
- total magnetic moment (μB/cell) = 30.34
- ρ (g/cm³) = 9.42
- SG = F-43m, No. 216

***

The following is a PBE calculation of a relaxed structure of EuDyTe, from Alexandria via LeMat-Bulk.

a = 3.9148 Å, b = 3.9148 Å, c = 12.7124 Å
α = 90.00°, β = 90.00°, γ = 90.00°
Element x y z (fractional)
Eu1 0.0000 0.0000 0.0000
Eu2 0.5000 0.5000 0.5000
Dy1 0.0000 0.0000 0.2944
Dy2 0.5000 0.5000 0.7944
Te1 0.0000 0.0000 0.6711
Te2 0.5000 0.5000 0.1711

Calculated values
- formation energy from raw total energies (eV/atom) = -0.80
- total magnetic moment (μB/cell) = 15.84
- ρ (g/cm³) = 7.54
- relative energy among the computed polymorphs (meV/atom) = 0.0
- SG = I4mm, No. 107

***

The following is a PBE calculation of a relaxed structure of EuDyTe, from Alexandria via LeMat-Bulk.

a = 5.2386 Å, b = 5.2386 Å, c = 4.2410 Å
α = 90.00°, β = 90.00°, γ = 120.00°
Element x y z (fractional)
Eu1 0.0000 0.0000 0.0000
Dy1 0.3333 0.6667 0.4999
Te1 0.6667 0.3333 0.4959

Calculated values
- formation energy from raw total energies (eV/atom) = -0.59
- total magnetic moment (μB/cell) = 7.86
- ρ (g/cm³) = 7.28
- relative energy among the computed polymorphs (meV/atom) = 210.5
- SG = P3m1, No. 156

***

The following is a PBE calculation of a relaxed structure of EuDyTh, from Alexandria via LeMat-Bulk.

a = 3.6212 Å, b = 3.6212 Å, c = 15.7201 Å
α = 90.00°, β = 90.00°, γ = 90.00°
Element x y z (fractional)
Eu1 0.0000 0.0000 0.0000
Eu2 0.5000 0.5000 0.5000
Dy1 0.0000 0.0000 0.6810
Dy2 0.5000 0.5000 0.1810
Th1 0.0000 0.0000 0.3297
Th2 0.5000 0.5000 0.8297

Calculated values
- total magnetic moment (μB/cell) = 15.26
- ρ (g/cm³) = 8.80
- relative energy among the computed polymorphs (meV/atom) = 9.3
- SG = I4mm, No. 107

***

The following is a PBE calculation of a relaxed structure of EuDy2Th, from Alexandria via LeMat-Bulk.

a = 5.1310 Å, b = 5.1310 Å, c = 4.9968 Å
α = 90.00°, β = 90.00°, γ = 90.00°
Element x y z (fractional)
Eu1 0.0000 0.0000 0.0000
Dy1 0.0000 0.5000 0.5000
Dy2 0.5000 0.0000 0.5000
Th1 0.5000 0.5000 0.0000

Calculated values
- total magnetic moment (μB/cell) = 7.16
- ρ (g/cm³) = 8.95
- relative energy among the computed polymorphs (meV/atom) = 83.6
- SG = P4/mmm, No. 123

***

The following is a PBE calculation of a relaxed structure of EuDyTh2, from Alexandria via LeMat-Bulk.

a = 3.5173 Å, b = 3.5173 Å, c = 38.0839 Å
α = 90.00°, β = 90.00°, γ = 120.00°
Element x y z (fractional)
Eu1 0.0000 0.0000 0.0000
Eu2 0.3333 0.6667 0.6667
Eu3 0.6667 0.3333 0.3333
Dy1 0.0000 0.0000 0.5000
Dy2 0.3333 0.6667 0.1667
Dy3 0.6667 0.3333 0.8333
Th1 0.0000 0.0000 0.0897
Th2 0.0000 0.0000 0.9103
Th3 0.3333 0.6667 0.5770
Th4 0.3333 0.6667 0.7563
Th5 0.6667 0.3333 0.2437
Th6 0.6667 0.3333 0.4230

Calculated values
- total magnetic moment (μB/cell) = 23.37
- ρ (g/cm³) = 9.50
- relative energy among the computed polymorphs (meV/atom) = 66.4
- SG = R-3m, No. 166

***

The following is a PBE calculation of a relaxed structure of EuDy2Th, from Alexandria via LeMat-Bulk.

a = 8.1226 Å, b = 8.1226 Å, c = 8.1226 Å
α = 90.00°, β = 90.00°, γ = 90.00°
Element x y z (fractional)
Eu1 0.0000 0.0000 0.0000
Eu2 0.0000 0.5000 0.5000
Eu3 0.5000 0.0000 0.5000
Eu4 0.5000 0.5000 0.0000
Dy1 0.2500 0.2500 0.2500
Dy2 0.2500 0.2500 0.7500
Dy3 0.2500 0.7500 0.2500
Dy4 0.2500 0.7500 0.7500
Dy5 0.7500 0.2500 0.2500
Dy6 0.7500 0.2500 0.7500
Dy7 0.7500 0.7500 0.2500
Dy8 0.7500 0.7500 0.7500
Th1 0.0000 0.0000 0.5000
Th2 0.0000 0.5000 0.0000
Th3 0.5000 0.0000 0.0000
Th4 0.5000 0.5000 0.5000

Calculated values
- total magnetic moment (μB/cell) = 27.53
- ρ (g/cm³) = 8.79
- relative energy among the computed polymorphs (meV/atom) = 158.1
- SG = Fm-3m, No. 225

***

The following is a PBE calculation of a relaxed structure of Eu2DyTh, from Alexandria via LeMat-Bulk.

a = 3.5405 Å, b = 3.5405 Å, c = 39.0737 Å
α = 90.00°, β = 90.00°, γ = 120.00°
Element x y z (fractional)
Eu1 0.0000 0.0000 0.0885
Eu2 0.0000 0.0000 0.9115
Eu3 0.3333 0.6667 0.5782
Eu4 0.3333 0.6667 0.7552
Eu5 0.6667 0.3333 0.2448
Eu6 0.6667 0.3333 0.4218
Dy1 0.0000 0.0000 0.5000
Dy2 0.3333 0.6667 0.1667
Dy3 0.6667 0.3333 0.8333
Th1 0.0000 0.0000 0.0000
Th2 0.3333 0.6667 0.6667
Th3 0.6667 0.3333 0.3333

Calculated values
- E (eV/atom) = -7.880
- total magnetic moment (μB/cell) = 45.69
- ρ (g/cm³) = 8.20
- SG = R-3m, No. 166

***

The following is a PBE calculation of a relaxed structure of EuDyTh2, from Alexandria via LeMat-Bulk.

a = 4.2005 Å, b = 4.2005 Å, c = 7.5499 Å
α = 90.00°, β = 90.00°, γ = 90.00°
Element x y z (fractional)
Eu1 0.0000 0.0000 0.0000
Dy1 0.0000 0.0000 0.5000
Th1 0.5000 0.5000 0.2681
Th2 0.5000 0.5000 0.7319

Calculated values
- total magnetic moment (μB/cell) = 7.19
- ρ (g/cm³) = 9.70
- relative energy among the computed polymorphs (meV/atom) = 77.8
- SG = P4/mmm, No. 123

***

> The lowest ρ belongs to which entry?

number 6

***

> Look up the total magnetic moment of the eighth one.

7.16 μB/cell